1.
Crystalline RbInHg2Pb at its relaxed geometry, computed with PBE.

Unit cell a=5.7739 b=5.7739 c=5.9393 alpha=90.00 beta=90.00 gamma=90.00
With the nearest neighbours (Å) after each atom.
Fractional coordinates of all 5 atoms:
Rb 0.0000 0.0000 0.0000  4 Pb 4.08, 8 Hg 4.14
In 0.5000 0.5000 0.5000  4 Hg 2.89, 2 Pb 2.97
Hg 0.0000 0.5000 0.5000  2 In 2.89
Hg 0.5000 0.0000 0.5000  2 In 2.89
Pb 0.5000 0.5000 0.0000  2 In 2.97

Values from the calculation:
As for the symmetry: P4/mmm, No. 123. As for the excess energy over the best structure of this formula in the dataset: 182 meV/atom.

---

2.
Crystalline RbInHgPb at its relaxed geometry, computed with PBE.

Unit cell a=5.6826 b=5.6826 c=5.6826 alpha=60.00 beta=60.00 gamma=60.00
With the nearest neighbours (Å) after each atom.
Fractional coordinates of all 4 atoms:
Rb 0.0000 0.0000 0.0000  4 Hg 3.48, 4 In 3.48
In 0.2500 0.2500 0.2500  4 Pb 3.48, 4 Rb 3.48
Hg 0.7500 0.7500 0.7500  4 Pb 3.48, 4 Rb 3.48
Pb 0.5000 0.5000 0.5000  4 In 3.48, 4 Hg 3.48

Values from the calculation:
As for the symmetry: F-43m, No. 216. As for the excess energy over the best structure of this formula in the dataset: 56 meV/atom.

---

3.
Crystalline Rb2InHg6Pb at its relaxed geometry, computed with PBE.

Unit cell a=6.5120 b=7.9705 c=8.1949 alpha=84.59 beta=67.10 gamma=67.54
With the nearest neighbours (Å) after each atom.
Fractional coordinates of all 10 atoms:
Rb 0.0451 0.2202 0.2106  7 Hg 3.66-4.01
Rb 0.9549 0.7798 0.7894  7 Hg 3.66-4.01
In 0.5000 0.0000 0.5000  6 Hg 2.93-3.09
Hg 0.0069 0.2552 0.7309  1 In 3.01, 1 Pb 3.13, 3 Hg 3.26-3.33
Hg 0.3869 0.4014 0.4048  1 In 3.09, 1 Pb 3.20, 5 Hg 3.33-3.40
Hg 0.4961 0.7763 0.2374  1 In 2.93, 1 Pb 3.06, 1 Hg 3.26
Hg 0.5039 0.2237 0.7626  1 In 2.93, 1 Pb 3.06, 1 Hg 3.26
Hg 0.6131 0.5986 0.5952  1 In 3.09, 1 Pb 3.20, 5 Hg 3.33-3.40
Hg 0.9931 0.7448 0.2691  1 In 3.01, 1 Pb 3.13, 3 Hg 3.26-3.33
Pb 0.5000 0.5000 0.0000  6 Hg 3.06-3.20

Values from the calculation:
As for the symmetry: P-1, No. 2.

---

4.
Crystalline RbInHgPb2 at its relaxed geometry, computed with PBE.

Unit cell a=7.3863 b=7.3863 c=7.3863 alpha=138.07 beta=138.07 gamma=60.80
With the nearest neighbours (Å) after each atom.
Fractional coordinates of all 5 atoms:
Rb 0.0000 0.0000 0.0000  8 Pb 4.05, 4 Hg 4.14, 4 In 4.14
In 0.2500 0.7500 0.5000  4 Pb 3.11
Hg 0.7500 0.2500 0.5000  4 Pb 3.11
Pb 0.3784 0.3784 0.0000  1 Pb 3.10, 2 Hg 3.11, 2 In 3.11
Pb 0.6216 0.6216 0.0000  1 Pb 3.10, 2 Hg 3.11, 2 In 3.11

Values from the calculation:
As for the symmetry: I-4m2, No. 119.

---

5.
Crystalline Rb2In3Hg12Pb at its relaxed geometry, computed with PBE.

Unit cell a=8.2492 b=8.2492 c=8.2492 alpha=86.78 beta=86.78 gamma=86.78
With the nearest neighbours (Å) after each atom.
Fractional coordinates of all 18 atoms:
Rb 0.2063 0.2063 0.2063  9 Hg 3.54-3.73, 3 In 3.79
Rb 0.7937 0.7937 0.7937  9 Hg 3.54-3.73, 3 In 3.79
In 0.0000 0.5000 0.5000  2 Hg 3.07
In 0.5000 0.0000 0.5000  2 Hg 3.07
In 0.5000 0.5000 0.0000  2 Hg 3.07
Hg 0.0901 0.0901 0.6203  2 Hg 2.97-3.04
Hg 0.0901 0.6203 0.0901  2 Hg 2.97-3.04
Hg 0.2113 0.6994 0.6994  1 Hg 2.97, 1 In 3.07, 1 Pb 3.24
Hg 0.3006 0.3006 0.7887  1 Hg 2.97, 1 In 3.07, 1 Pb 3.24
Hg 0.3006 0.7887 0.3006  1 Hg 2.97, 1 In 3.07, 1 Pb 3.24
Hg 0.3797 0.9099 0.9099  2 Hg 2.97-3.04
Hg 0.6203 0.0901 0.0901  2 Hg 2.97-3.04
Hg 0.6994 0.2113 0.6994  1 Hg 2.97, 1 In 3.07, 1 Pb 3.24
Hg 0.6994 0.6994 0.2113  1 Hg 2.97, 1 In 3.07, 1 Pb 3.24
Hg 0.7887 0.3006 0.3006  1 Hg 2.97, 1 In 3.07, 1 Pb 3.24
Hg 0.9099 0.3797 0.9099  2 Hg 2.97-3.04
Hg 0.9099 0.9099 0.3797  2 Hg 2.97-3.04
Pb 0.5000 0.5000 0.5000  6 Hg 3.24

Values from the calculation:
As for the symmetry: R-3m, No. 166.

---

6.
Crystalline RbIn4HgPb2 at its relaxed geometry, computed with PBE.

Unit cell a=10.6428 b=10.6428 c=10.6428 alpha=29.74 beta=29.74 gamma=29.74
With the nearest neighbours (Å) after each atom.
Fractional coordinates of all 8 atoms:
Rb 0.0000 0.0000 0.0000  8 In 3.81-4.07, 6 Pb 4.25
In 0.1335 0.1335 0.1335  4 Pb 3.25-3.38, 3 Hg 3.31
In 0.4034 0.4034 0.4034  1 Hg 2.95, 3 Pb 3.23
In 0.5966 0.5966 0.5966  1 Hg 2.95, 3 Pb 3.23
In 0.8665 0.8665 0.8665  4 Pb 3.25-3.38, 3 Hg 3.31
Hg 0.5000 0.5000 0.5000  2 In 2.95
Pb 0.2400 0.2400 0.2400  7 In 3.23-3.38
Pb 0.7600 0.7600 0.7600  7 In 3.23-3.38

Values from the calculation:
As for the symmetry: R-3m, No. 166.

---

7.
Crystalline RbInHgPb at its relaxed geometry, computed with PBE.

Unit cell a=7.9534 b=7.9534 c=7.9534 alpha=35.84 beta=35.84 gamma=35.84
With the nearest neighbours (Å) after each atom.
Fractional coordinates of all 4 atoms:
Rb 0.0000 0.0000 0.0000  3 Hg 3.61, 3 Pb 3.98, 1 In 3.98
In 0.8214 0.8214 0.8214  3 Pb 3.06, 3 Hg 3.07
Hg 0.4342 0.4342 0.4342  3 In 3.07
Pb 0.2079 0.2079 0.2079  3 In 3.06

Values from the calculation:
As for the symmetry: R3m, No. 160. As for the excess energy over the best structure of this formula in the dataset: 0 meV/atom.

---

8.
Crystalline Rb2InHg4Pb2 at its relaxed geometry, computed with PBE.

Unit cell a=7.5264 b=7.5264 c=7.5264 alpha=118.04 beta=118.04 gamma=93.43
With the nearest neighbours (Å) after each atom.
Fractional coordinates of all 9 atoms:
Rb 0.2500 0.7500 0.5000  8 Hg 3.77, 4 Pb 3.92
Rb 0.7500 0.2500 0.5000  8 Hg 3.77, 4 Pb 3.92
In 0.0000 0.0000 0.0000  4 Hg 3.00, 2 Pb 3.15
Hg 0.2734 0.2734 0.5468  1 In 3.00, 2 Pb 3.19
Hg 0.2734 0.7266 0.0000  1 In 3.00, 2 Pb 3.19
Hg 0.7266 0.2734 0.0000  1 In 3.00, 2 Pb 3.19
Hg 0.7266 0.7266 0.4532  1 In 3.00, 2 Pb 3.19
Pb 0.3053 0.3053 0.0000  1 In 3.15, 4 Hg 3.19
Pb 0.6947 0.6947 0.0000  1 In 3.15, 4 Hg 3.19

Values from the calculation:
As for the symmetry: I4/mmm, No. 139.

---

9.
Crystalline Rb2InHg3Pb4 at its relaxed geometry, computed with PBE.

Unit cell a=5.1198 b=5.1198 c=13.0931 alpha=90.00 beta=90.00 gamma=90.00
With the nearest neighbours (Å) after each atom.
Fractional coordinates of all 10 atoms:
Rb 0.0000 0.5000 0.2470  6 Hg 3.91-4.13, 8 Pb 3.91-4.19, 2 In 4.13
Rb 0.5000 0.0000 0.7530  6 Hg 3.91-4.13, 8 Pb 3.91-4.19, 2 In 4.13
In 0.5000 0.5000 0.0000  4 Pb 3.10
Hg 0.0000 0.0000 0.0000  4 Pb 3.10
Hg 0.0000 0.5000 0.6396  5 Pb 2.97-3.15
Hg 0.5000 0.0000 0.3604  5 Pb 2.97-3.15
Pb 0.0000 0.0000 0.5000  4 Hg 3.15
Pb 0.0000 0.5000 0.8666  3 Hg 2.97-3.10, 2 In 3.10
Pb 0.5000 0.0000 0.1334  3 Hg 2.97-3.10, 2 In 3.10
Pb 0.5000 0.5000 0.5000  4 Hg 3.15

Values from the calculation:
As for the symmetry: P-4m2, No. 115.

---

10.
Crystalline RbInHg2Pb at its relaxed geometry, computed with PBE.

Unit cell a=7.5812 b=7.5812 c=7.5812 alpha=141.74 beta=141.74 gamma=55.22
With the nearest neighbours (Å) after each atom.
Fractional coordinates of all 5 atoms:
Rb 0.0000 0.0000 0.0000  8 Hg 3.81, 4 In 4.18, 4 Pb 4.18
In 0.2500 0.7500 0.5000  4 Hg 3.13
Hg 0.3912 0.3912 0.0000  1 Hg 2.92, 2 In 3.13, 2 Pb 3.13
Hg 0.6088 0.6088 0.0000  1 Hg 2.92, 2 In 3.13, 2 Pb 3.13
Pb 0.7500 0.2500 0.5000  4 Hg 3.13

Values from the calculation:
As for the symmetry: I-4m2, No. 119. As for the excess energy over the best structure of this formula in the dataset: 0 meV/atom.

---

Number 1: E_tot -1.559 eV/atom, formation energy 0.045 eV per atom. Number 2: E_tot -1.968 eV/atom, formation energy -0.039 eV per atom. Number 3: E_tot -1.132 eV/atom, formation energy -0.113 eV per atom. Number 4: E_tot -2.370 eV/atom, formation energy -0.085 eV per atom. Number 5: E_tot -0.995 eV/atom, formation energy -0.024 eV per atom. Number 6: E_tot -2.485 eV/atom, formation energy -0.030 eV per atom. Number 7: E_tot -2.024 eV/atom, formation energy -0.095 eV per atom. Number 8: E_tot -1.576 eV/atom, formation energy -0.098 eV per atom. Number 9: E_tot -2.158 eV/atom, formation energy -0.117 eV per atom. Number 10: E_tot -1.741 eV/atom, formation energy -0.137 eV per atom.